This record from the Alexandria database describes crystalline PaTa2Tl2Te6 at its relaxed geometry. The functional is GGA-PBE.

Cell lengths 6.8941, 6.8941, 8.8786 Å; angles 95.38, 95.38, 119.58 degrees
Positions (direct):
Tl  0.8212  0.1788  0.0000
Tl  0.1788  0.8212  0.0000
Te  0.4087  0.0381  0.6860
Te  0.9619  0.5913  0.3140
Te  0.7202  0.7202  0.7362
Te  0.2798  0.2798  0.2638
Te  0.0381  0.4087  0.6860
Te  0.5913  0.9619  0.3140
Ta  0.6240  0.3760  0.5000
Ta  0.3760  0.6240  0.5000
Pa  0.0000  0.0000  0.5000

Results
- Spin magnetization: 0.95 μB/f.u.
- Density of states at the Fermi level: 0.5887 states/eV/atom
- SG: No. 12
- Raw formation energy: -4.3 eV per formula unit